This record from the Alexandria database describes a relaxed structure of Rb2HoU2S6. The functional is PBE-GGA.

It has space group C2/m (No. 12), with a = 6.971 Å, b = 12.076 Å, c = 8.207 Å, α = 90.00°, β = 106.17° and γ = 90.00°. The distinct sites, in fractional coordinates, are Rb at (0.000, 0.166, 0.000), Ho at (0.000, 0.000, 0.500), U at (0.000, 0.334, 0.500), S at (0.227, 0.168, 0.686) and S at (0.229, 0.500, 0.687).

The calculation puts the uncorrected formation energy at -152.6 kJ per mole of atoms.